A:
Below is a geometry-optimized SrZnBr structure, with properties calculated at the GGA-PBE level.

Summary:
- DOS at the Fermi energy (states/eV per atom) = 0.469

abc: 7.423 7.423 7.423
angles: 90.00 90.00 90.00
Space group F-43m (No. 216)
Unique sites:
Sr: 0.000 0.000 0.000 (multiplicity 4)
Zn: 0.250 0.250 0.250 (multiplicity 4)
Br: 0.000 0.000 0.500 (multiplicity 4)

B:
Below is a geometry-optimized SrZnBr structure, with properties calculated at the GGA-PBE level.

Summary:
- DOS at the Fermi energy (states/eV per atom) = 0.441

abc: 5.586 5.601 13.383
angles: 90.00 90.00 90.00
Space group Fmm2 (No. 42)
Unique sites:
Sr: 0.000 0.000 0.000 (multiplicity 4)
Zn: 0.000 0.000 0.360 (multiplicity 4)
Br: 0.000 0.000 0.618 (multiplicity 4)

C:
Below is a geometry-optimized SrZnBr structure, with properties calculated at the GGA-PBE level.

Summary:
- DOS at the Fermi energy (states/eV per atom) = 0.672

abc: 5.2807 5.2807 4.3920
angles: 90.00 90.00 120.00
Space group P-6m2 (No. 187)
Unique sites:
Sr: 0.0000 0.0000 0.0000 (multiplicity 1)
Zn: 0.6667 0.3333 0.5000 (multiplicity 1)
Br: 0.3333 0.6667 0.0000 (multiplicity 1)

Tell me which of them is the least stable. Sure, it is A.

A:
Below is a geometry-optimized SrZnBr structure, with properties calculated at the GGA-PBE level.

Summary:
- DOS at the Fermi energy (states/eV per atom) = 0.430

abc: 7.699 4.447 11.897
angles: 90.00 91.31 90.00
Space group C2/m (No. 12)
Unique sites:
Sr: 0.007 0.000 0.199 (multiplicity 4)
Zn: 0.167 0.500 0.997 (multiplicity 4)
Br: 0.179 0.500 0.341 (multiplicity 4)

B:
Below is a geometry-optimized SrZnBr structure, with properties calculated at the GGA-PBE level.

Summary:
- DOS at the Fermi energy (states/eV per atom) = 0.703

abc: 7.587 7.587 7.587
angles: 90.00 90.00 90.00
Space group F-43m (No. 216)
Unique sites:
Sr: 0.000 0.000 0.000 (multiplicity 4)
Zn: 0.250 0.250 0.250 (multiplicity 4)
Br: 0.250 0.250 0.750 (multiplicity 4)

Tell me which of them is the least stable. Sure, it is B.

A:
Below is a geometry-optimized SrZrBr2 structure, with properties calculated at the GGA-PBE level.

Summary:
- DOS at the Fermi energy (states/eV per atom) = 0.627

abc: 3.828 3.828 7.594
angles: 90.00 90.00 90.00
Space group P4mm (No. 99)
Unique sites:
Sr: 0.000 0.000 0.000 (multiplicity 1)
Zr: 0.500 0.500 0.348 (multiplicity 1)
Br: 0.000 0.000 0.458 (multiplicity 1)
Br: 0.500 0.500 0.759 (multiplicity 1)

B:
Below is a geometry-optimized SrZrBr2 structure, with properties calculated at the GGA-PBE level.

Summary:
- DOS at the Fermi energy (states/eV per atom) = 0.431

abc: 7.299 7.299 7.299
angles: 90.00 90.00 90.00
Space group Fm-3m (No. 225)
Unique sites:
Sr: 0.000 0.000 0.000 (multiplicity 4)
Zr: 0.000 0.000 0.500 (multiplicity 4)
Br: 0.250 0.250 0.250 (multiplicity 8)

Tell me which of them is the least stable. Sure, it is B.

A:
Below is a geometry-optimized SrZr2Br structure, with properties calculated at the GGA-PBE level.

Summary:
- DOS at the Fermi energy (states/eV per atom) = 1.144

abc: 3.341 3.341 9.483
angles: 90.00 90.00 90.00
Space group P4/mmm (No. 123)
Unique sites:
Sr: 0.000 0.000 0.000 (multiplicity 1)
Zr: 0.500 0.500 0.313 (multiplicity 2)
Br: 0.000 0.000 0.500 (multiplicity 1)

B:
Below is a geometry-optimized SrZr2Br structure, with properties calculated at the GGA-PBE level.

Summary:
- DOS at the Fermi energy (states/eV per atom) = 1.273

abc: 3.403 5.757 6.168
angles: 90.00 90.00 90.00
Space group Pmmm (No. 47)
Unique sites:
Sr: 0.000 0.000 0.000 (multiplicity 1)
Zr: 0.500 0.232 0.500 (multiplicity 2)
Br: 0.000 0.500 0.000 (multiplicity 1)

Tell me which of them is the least stable. Sure, it is B.